# 1
Here is a relaxed structure of Pm3Ag2Hg3 from the Alexandria database. Energies are from GGA-PBE.

Cell lengths 3.9673, 7.7766, 7.7766 Å; angles 120.00, 90.00, 90.00 degrees
Last column: nearest neighbours and their distance in Å.
Atoms (fractional coordinates):
1 Hg 0.0000 0.0000 0.2403  2 Ag 3.02, 2 Hg 3.24, 4 Pm 3.34
2 Hg 0.0000 0.2403 0.0000  2 Ag 3.02, 2 Hg 3.24, 4 Pm 3.34
3 Hg 0.0000 0.7597 0.7597  2 Ag 3.02, 2 Hg 3.24, 4 Pm 3.34
4 Ag 0.0000 0.3333 0.6667  3 Hg 3.02, 6 Pm 3.10
5 Ag 0.0000 0.6667 0.3333  3 Hg 3.02, 6 Pm 3.10
6 Pm 0.5000 0.3952 0.3952  4 Ag 3.10, 6 Hg 3.34-3.46
7 Pm 0.5000 0.6048 0.0000  4 Ag 3.10, 6 Hg 3.34-3.46
8 Pm 0.5000 0.0000 0.6048  4 Ag 3.10, 6 Hg 3.34-3.46

The symmetry is No. 189. The relative energy among the computed polymorphs comes out at 0.006 eV/atom.

***

# 2
Here is a relaxed structure of Pm3Ag2Hg3 from the Alexandria database. Energies are from GGA-PBE.

Cell lengths 4.8009, 5.9142, 15.9331 Å; angles 90.00, 90.00, 113.95 degrees
Last column: nearest neighbours and their distance in Å.
Atoms (fractional coordinates):
1 Hg 0.3776 0.7552 0.2500  2 Ag 2.87, 1 Pm 3.06
2 Hg 0.6147 0.2294 0.0481  3 Ag 2.80-3.10, 1 Hg 2.92
3 Hg 0.3853 0.7706 0.5481  3 Ag 2.80-3.10, 1 Hg 2.92
4 Hg 0.6224 0.2448 0.7500  2 Ag 2.87, 1 Pm 3.06
5 Hg 0.6147 0.2294 0.4519  3 Ag 2.80-3.10, 1 Hg 2.92
6 Hg 0.3853 0.7706 0.9519  3 Ag 2.80-3.10, 1 Hg 2.92
7 Pm 0.9176 0.8352 0.1028  3 Ag 3.21-3.26, 7 Hg 3.33-3.42
8 Pm 0.0824 0.1648 0.6028  3 Ag 3.21-3.26, 7 Hg 3.33-3.42
9 Pm 0.9176 0.8352 0.3972  3 Ag 3.21-3.26, 7 Hg 3.33-3.42
10 Pm 0.3389 0.6778 0.7500  5 Hg 3.06-3.35, 4 Ag 3.35
11 Pm 0.0824 0.1648 0.8972  3 Ag 3.21-3.26, 7 Hg 3.33-3.42
12 Pm 0.6611 0.3222 0.2500  5 Hg 3.06-3.35, 4 Ag 3.35
13 Ag 0.7857 0.5714 0.8919  4 Hg 2.80-3.10
14 Ag 0.7857 0.5714 0.6081  4 Hg 2.80-3.10
15 Ag 0.2143 0.4286 0.1081  4 Hg 2.80-3.10
16 Ag 0.2143 0.4286 0.3919  4 Hg 2.80-3.10

The symmetry is No. 63. The relative energy among the computed polymorphs comes out at 0.000 eV/atom.

***

# 3
Here is a relaxed structure of Pm4AgHg7 from the Alexandria database. Energies are from GGA-PBE.

Cell lengths 5.3914, 8.5818, 8.2533 Å; angles 66.99, 70.94, 71.69 degrees
Last column: nearest neighbours and their distance in Å.
Atoms (fractional coordinates):
1 Hg 0.6816 0.4609 0.1759  5 Pm 3.12-3.29, 2 Hg 3.18
2 Hg 0.8129 0.0051 0.3692  1 Ag 2.89, 1 Pm 3.16
3 Hg 0.9422 0.3674 0.7482  1 Ag 3.01, 3 Pm 3.15-3.16, 2 Hg 3.18
4 Hg 0.1871 0.9949 0.6308  1 Ag 2.89, 1 Pm 3.16
5 Hg 0.5000 0.0000 0.0000  2 Ag 2.70
6 Hg 0.0578 0.6326 0.2518  1 Ag 3.01, 3 Pm 3.15-3.16, 2 Hg 3.18
7 Hg 0.3184 0.5391 0.8241  5 Pm 3.12-3.29, 2 Hg 3.18
8 Ag 0.0000 0.0000 0.0000  6 Hg 2.70-3.01
9 Pm 0.2620 0.2579 0.2181  8 Hg 3.10-3.37
10 Pm 0.7380 0.7421 0.7819  8 Hg 3.10-3.37
11 Pm 0.5696 0.2522 0.6086  8 Hg 3.08-3.38
12 Pm 0.4304 0.7478 0.3914  8 Hg 3.08-3.38

The symmetry is No. 12. The relative energy among the computed polymorphs comes out at 0.101 eV/atom.

***

# 4
Here is a relaxed structure of PmAg2Hg3 from the Alexandria database. Energies are from GGA-PBE.

Cell lengths 6.4192, 6.4192, 8.7231 Å; angles 68.41, 68.41, 60.00 degrees
Last column: nearest neighbours and their distance in Å.
Atoms (fractional coordinates):
1 Hg 0.7317 0.2399 0.2967  3 Ag 2.98-3.01, 4 Hg 3.16-3.26, 3 Pm 3.22-3.27
2 Hg 0.2683 0.7601 0.7033  3 Ag 2.98-3.01, 4 Hg 3.16-3.26, 3 Pm 3.22-3.27
3 Hg 0.2399 0.7317 0.2967  3 Ag 2.98-3.01, 4 Hg 3.16-3.26, 3 Pm 3.22-3.27
4 Hg 0.7317 0.7317 0.2967  3 Ag 2.98-3.01, 4 Hg 3.16-3.26, 3 Pm 3.22-3.27
5 Hg 0.7601 0.2683 0.7033  3 Ag 2.98-3.01, 4 Hg 3.16-3.26, 3 Pm 3.22-3.27
6 Hg 0.2683 0.2683 0.7033  3 Ag 2.98-3.01, 4 Hg 3.16-3.26, 3 Pm 3.22-3.27
7 Pm 0.7909 0.7909 0.6274  9 Hg 3.22-3.27, 3 Ag 3.48
8 Pm 0.2091 0.2091 0.3726  9 Hg 3.22-3.27, 3 Ag 3.48
9 Ag 0.5000 0.5000 0.0000  4 Hg 2.98, 6 Ag 3.21
10 Ag 0.0000 0.0000 0.0000  6 Hg 3.01, 6 Ag 3.21
11 Ag 0.5000 0.0000 0.0000  4 Hg 2.98, 6 Ag 3.21
12 Ag 0.0000 0.5000 0.0000  4 Hg 2.98, 6 Ag 3.21

The symmetry is No. 166.

***

no.,formation enthalpy at 0 K (eV per atom),calculated volume (Å³ per cell),final energy (eV per formula unit)
1,-0.345,208,-23.619
2,-0.350,413,-23.663
3,-0.293,324,-27.486
4,-0.137,282,-12.183